Record 1
Density functional theory data (PBE) for RbRe2Se after structural relaxation.

Cell: 9.5609 9.5609 9.5609 Å, 150.23 150.23 42.61°
Fractional coordinates of all 8 atoms:
1 Rb 0.0000 0.0000 0.0000
2 Rb 0.7500 0.2500 0.5000
3 Re 0.3451 0.1250 0.7201
4 Re 0.3750 0.6549 0.7799
5 Re 0.4049 0.6250 0.2799
6 Re 0.8750 0.5951 0.2201
7 Se 0.2500 0.7500 0.5000
8 Se 0.5000 0.5000 0.0000

- Size of the total moment: 0.437 μB/atom

Record 2
Density functional theory data (PBE) for RbRe4Se8 after structural relaxation.

Cell: 9.3019 9.3019 9.3019 Å, 92.27 92.27 157.06°
Fractional coordinates of all 13 atoms:
1 Rb 0.0000 0.0000 0.0000
2 Re 0.1503 0.3359 0.4862
3 Re 0.3359 0.8497 0.1856
4 Re 0.6641 0.1503 0.8144
5 Re 0.8497 0.6641 0.5138
6 Se 0.0385 0.6591 0.6975
7 Se 0.3064 0.6515 0.9578
8 Se 0.3409 0.0385 0.3794
9 Se 0.3485 0.3064 0.6549
10 Se 0.6515 0.6936 0.3451
11 Se 0.6591 0.9615 0.6206
12 Se 0.6936 0.3485 0.0422
13 Se 0.9615 0.3409 0.3025

- Size of the total moment: 0.241 μB/atom

no.,uncorrected formation energy (eV/f.u.),final energy (eV per atom)
1,4.71,-6.16
2,-1.47,-6.16